Density functional theory data (PBE-GGA) for Mn2PPt after structural relaxation.

Summary:
The space group is Imm2. The calculation puts the formation energy at -0.1470 eV per atom.

Cell: 5.0538 5.0538 5.0538 Å, 145.12 132.64 60.15°
Sites, in units of the cell vectors:
Mn (0.0000, 0.0000, 0.0000)
Mn (0.6963, 0.1963, 0.5000)
P (0.1999, 0.6999, 0.5000)
Pt (0.4181, 0.4181, 0.0000)

Density functional theory data (PBE-GGA) for PmYP2O8 after structural relaxation.

Summary:
As for the raw formation energy: -2888.5 meV per atom. The space group is P-3m1.

Cell: 5.2695 5.2695 7.1239 Å, 90.00 90.00 120.00°
Sites, in units of the cell vectors:
Pm (0.0000, 0.0000, 0.0000)
Y (0.0000, 0.0000, 0.5000)
P (0.3333, 0.6667, 0.7989)
P (0.6667, 0.3333, 0.2011)
O (0.1733, 0.3466, 0.7239)
O (0.1733, 0.8267, 0.7239)
O (0.3333, 0.6667, 0.0132)
O (0.3466, 0.1733, 0.2761)
O (0.6534, 0.8267, 0.7239)
O (0.6667, 0.3333, 0.9868)
O (0.8267, 0.1733, 0.2761)
O (0.8267, 0.6534, 0.2761)

Density functional theory data (PBE-GGA) for TaVTc2Mo after structural relaxation.

Summary:
The space group is P4/mmm. The calculation puts the formation energy at 1.1914 eV per atom.

Cell: 4.3794 4.3794 4.6096 Å, 90.00 90.00 90.00°
Sites, in units of the cell vectors:
Ta (0.0000, 0.0000, 0.0000)
V (0.0000, 0.0000, 0.5000)
Tc (0.0000, 0.5000, 0.5000)
Tc (0.5000, 0.0000, 0.5000)
Mo (0.5000, 0.5000, 0.0000)

Density functional theory data (PBE-GGA) for AlTlTe after structural relaxation.

Summary:
As for the raw formation energy: 81.0 meV per atom. The space group is F-43m.

Cell: 5.1174 5.1174 5.1174 Å, 60.00 60.00 60.00°
Sites, in units of the cell vectors:
Al (0.0000, 0.0000, 0.0000)
Tl (0.2500, 0.2500, 0.2500)
Te (0.7500, 0.7500, 0.7500)

Density functional theory data (PBE-GGA) for K2BaSnI6 after structural relaxation.

Summary:
As for the raw formation energy: -1256.9 meV per atom. The space group is R3.

Cell: 9.1240 9.1240 9.1240 Å, 57.33 57.33 57.33°
Sites, in units of the cell vectors:
K (0.0000, 0.0000, 0.0000)
K (0.4958, 0.4958, 0.4958)
Ba (0.2030, 0.2030, 0.2030)
Sn (0.6994, 0.6994, 0.6994)
I (0.0620, 0.4365, 0.8206)
I (0.3367, 0.9108, 0.5869)
I (0.4365, 0.8206, 0.0620)
I (0.5869, 0.3367, 0.9108)
I (0.8206, 0.0620, 0.4365)
I (0.9108, 0.5869, 0.3367)

Density functional theory data (PBE-GGA) for Sc2MnOsC after structural relaxation.

Summary:
The space group is P4/mmm. The calculation puts the formation energy at 0.6480 eV per atom.

Cell: 5.1165 5.1165 3.9019 Å, 90.00 90.00 90.00°
Sites, in units of the cell vectors:
Sc (0.0000, 0.5000, 0.0000)
Sc (0.5000, 0.0000, 0.0000)
Mn (0.0000, 0.0000, 0.5000)
Os (0.5000, 0.5000, 0.0000)
C (0.5000, 0.5000, 0.5000)

Number 1: total DFT energy (no corrections) -7.594 eV/atom, V 13.45 Å³/atom. Number 2: total DFT energy (no corrections) -8.030 eV/atom, V 14.28 Å³/atom. Number 3: total DFT energy (no corrections) -9.315 eV/atom, V 17.68 Å³/atom. Number 4: total DFT energy (no corrections) -3.003 eV/atom, V 31.59 Å³/atom. Number 5: total DFT energy (no corrections) -2.999 eV/atom, V 50.41 Å³/atom. Number 6: total DFT energy (no corrections) -7.809 eV/atom, V 20.43 Å³/atom.